1.
NaCaNiSb2: optimized geometry, PBE.

The calculation puts the density of states at the Fermi level at 1.035 states/eV/atom. For the raw formation energy, the calculation gives 4.07 eV per formula unit. Its crystal system is tetragonal.

Structure (CIF):
```
data_NaCaNiSb2
_chemical_formula_sum 'Na1 Ca1 Ni1 Sb2'
_space_group_name_H-M_alt 'P 4/m m m'
_space_group_IT_number 123
_space_group_name_Hall '-P 4 2'
_cell_length_a 5.303
_cell_length_b 5.303
_cell_length_c 5.074
_cell_angle_alpha 90.00
_cell_angle_beta 90.00
_cell_angle_gamma 90.00
loop_
_atom_site_label
_atom_site_fract_x
_atom_site_fract_y
_atom_site_fract_z
Na1 0.000 0.000 0.000
Ca1 0.000 0.000 0.500
Ni1 0.500 0.500 0.500
Sb1 0.000 0.500 0.000
```

=====

2.
CsNa2: optimized geometry, PBE.

The calculation puts the formation energy from the elements at 5 meV/atom. The calculation puts the density of states at the Fermi level at 0.642 states/eV/atom. Its crystal system is hexagonal.

Structure (CIF):
```
data_CsNa2
_chemical_formula_sum 'Cs4 Na8'
_space_group_name_H-M_alt 'P 63/m m c'
_space_group_IT_number 194
_space_group_name_Hall '-P 6c 2c'
_cell_length_a 7.7715
_cell_length_b 7.7715
_cell_length_c 12.9159
_cell_angle_alpha 90.00
_cell_angle_beta 90.00
_cell_angle_gamma 120.00
loop_
_atom_site_label
_atom_site_fract_x
_atom_site_fract_y
_atom_site_fract_z
Cs1 0.3333 0.6667 0.0623
Na1 0.0000 0.0000 0.0000
Na2 0.1653 0.3306 0.7500
```

=====

3.
P4Pb3: optimized geometry, PBE.

The calculation puts the formation energy from the elements at 228 meV/atom. The calculation puts the density of states at the Fermi level at 0.427 states/eV/atom. Its crystal system is tetragonal.

Structure (CIF):
```
data_P4Pb3
_chemical_formula_sum 'P8 Pb6'
_space_group_name_H-M_alt 'I 4/m m m'
_space_group_IT_number 139
_space_group_name_Hall '-I 4 2'
_cell_length_a 3.318
_cell_length_b 3.318
_cell_length_c 28.350
_cell_angle_alpha 90.00
_cell_angle_beta 90.00
_cell_angle_gamma 90.00
loop_
_atom_site_label
_atom_site_fract_x
_atom_site_fract_y
_atom_site_fract_z
P1 0.000 0.000 0.086
P2 0.000 0.000 0.391
Pb1 0.000 0.000 0.202
Pb2 0.000 0.000 0.500
```

=====

4.
Nb2SnGe: optimized geometry, PBE.

The calculation puts the formation energy from the elements at -85 meV/atom. The calculation puts the density of states at the Fermi level at 0.359 states/eV/atom. Its crystal system is trigonal.

Structure (CIF):
```
data_Nb2SnGe
_chemical_formula_sum 'Nb6 Sn3 Ge3'
_space_group_name_H-M_alt 'R 3 m'
_space_group_IT_number 160
_space_group_name_Hall 'R 3 -2"'
_cell_length_a 3.6863
_cell_length_b 3.6863
_cell_length_c 20.4781
_cell_angle_alpha 90.00
_cell_angle_beta 90.00
_cell_angle_gamma 120.00
loop_
_atom_site_label
_atom_site_fract_x
_atom_site_fract_y
_atom_site_fract_z
Nb1 0.0000 0.0000 0.0000
Nb2 0.0000 0.0000 0.1915
Sn1 0.0000 0.0000 0.4279
Ge1 0.0000 0.0000 0.5960
```

=====

5.
Cr2AgSe: optimized geometry, PBE.

The calculation puts the density of states at the Fermi level at 1.043 states/eV/atom. For the raw formation energy, the calculation gives 2.27 eV per formula unit. Its crystal system is trigonal.

Structure (CIF):
```
data_Cr2AgSe
_chemical_formula_sum 'Cr6 Ag3 Se3'
_space_group_name_H-M_alt 'R -3 m'
_space_group_IT_number 166
_space_group_name_Hall '-R 3 2"'
_cell_length_a 2.8556
_cell_length_b 2.8556
_cell_length_c 24.8005
_cell_angle_alpha 90.00
_cell_angle_beta 90.00
_cell_angle_gamma 120.00
loop_
_atom_site_label
_atom_site_fract_x
_atom_site_fract_y
_atom_site_fract_z
Cr1 0.0000 0.0000 0.2412
Ag1 0.0000 0.0000 0.0000
Se1 0.0000 0.0000 0.5000
```

=====

6.
ZrInP2S: optimized geometry, PBE.

The calculation puts the density of states at the Fermi level at 0.845 states/eV/atom. The value obtained for the distance to the lowest polymorph of the same formula is 0.0 meV/atom. For the raw formation energy, the calculation gives -0.22 eV per formula unit. Its crystal system is tetragonal.

Structure (CIF):
```
data_ZrInP2S
_chemical_formula_sum 'Zr1 In1 P2 S1'
_space_group_name_H-M_alt 'P 4/m m m'
_space_group_IT_number 123
_space_group_name_Hall '-P 4 2'
_cell_length_a 5.104
_cell_length_b 5.104
_cell_length_c 4.965
_cell_angle_alpha 90.00
_cell_angle_beta 90.00
_cell_angle_gamma 90.00
loop_
_atom_site_label
_atom_site_fract_x
_atom_site_fract_y
_atom_site_fract_z
Zr1 0.000 0.000 0.000
In1 0.500 0.500 0.500
P1 0.000 0.500 0.000
S1 0.000 0.000 0.500
```

=====

7.
Sr2AsPd: optimized geometry, PBE.

The calculation puts the formation energy from the elements at -732 meV/atom. The calculation puts the density of states at the Fermi level at 0.476 states/eV/atom. Its crystal system is tetragonal.

Structure (CIF):
```
data_Sr2AsPd
_chemical_formula_sum 'Sr2 As1 Pd1'
_space_group_name_H-M_alt 'P 4/m m m'
_space_group_IT_number 123
_space_group_name_Hall '-P 4 2'
_cell_length_a 5.252
_cell_length_b 5.252
_cell_length_c 3.885
_cell_angle_alpha 90.00
_cell_angle_beta 90.00
_cell_angle_gamma 90.00
loop_
_atom_site_label
_atom_site_fract_x
_atom_site_fract_y
_atom_site_fract_z
Sr1 0.000 0.500 0.000
As1 0.000 0.000 0.500
Pd1 0.500 0.500 0.500
```

=====

8.
HfScZn2O: optimized geometry, PBE.

The calculation puts the density of states at the Fermi level at 0.997 states/eV/atom. For the raw formation energy, the calculation gives -2.21 eV per formula unit. Its crystal system is tetragonal.

Structure (CIF):
```
data_HfScZn2O
_chemical_formula_sum 'Hf1 Sc1 Zn2 O1'
_space_group_name_H-M_alt 'P 4/m m m'
_space_group_IT_number 123
_space_group_name_Hall '-P 4 2'
_cell_length_a 5.346
_cell_length_b 5.346
_cell_length_c 3.882
_cell_angle_alpha 90.00
_cell_angle_beta 90.00
_cell_angle_gamma 90.00
loop_
_atom_site_label
_atom_site_fract_x
_atom_site_fract_y
_atom_site_fract_z
Hf1 0.000 0.000 0.000
Sc1 0.500 0.500 0.500
Zn1 0.000 0.500 0.000
O1 0.000 0.000 0.500
```

=====

9.
SbTe4Au2: optimized geometry, PBE.

The calculation puts the density of states at the Fermi level at 0.430 states/eV/atom. For the raw formation energy, the calculation gives -0.10 eV per formula unit. Its crystal system is triclinic.

Structure (CIF):
```
data_SbTe4Au2
_chemical_formula_sum 'Sb2 Te8 Au4'
_space_group_name_H-M_alt 'P -1'
_space_group_IT_number 2
_space_group_name_Hall '-P 1'
_cell_length_a 7.835
_cell_length_b 7.991
_cell_length_c 8.396
_cell_angle_alpha 69.35
_cell_angle_beta 66.54
_cell_angle_gamma 87.87
loop_
_atom_site_label
_atom_site_fract_x
_atom_site_fract_y
_atom_site_fract_z
Sb1 0.018 0.485 0.243
Te1 0.205 0.275 0.990
Te2 0.218 0.307 0.496
Te3 0.300 0.779 0.436
Te4 0.310 0.832 0.889
Au1 0.000 0.000 0.000
Au2 0.500 0.000 0.000
Au3 0.500 0.000 0.500
Au4 0.500 0.500 0.500
```

=====

10.
NaTaNb4N8: optimized geometry, PBE.

The calculation puts the density of states at the Fermi level at 0.383 states/eV/atom. For the raw formation energy, the calculation gives -9.81 eV per formula unit. Its crystal system is trigonal.

Structure (CIF):
```
data_NaTaNb4N8
_chemical_formula_sum 'Na3 Ta3 Nb12 N24'
_space_group_name_H-M_alt 'R 3 m'
_space_group_IT_number 160
_space_group_name_Hall 'R 3 -2"'
_cell_length_a 6.2247
_cell_length_b 6.2247
_cell_length_c 15.7039
_cell_angle_alpha 90.00
_cell_angle_beta 90.00
_cell_angle_gamma 120.00
loop_
_atom_site_label
_atom_site_fract_x
_atom_site_fract_y
_atom_site_fract_z
Na1 0.0000 0.0000 0.0000
Ta1 0.0000 0.0000 0.6241
Nb1 0.0000 0.0000 0.3789
Nb2 0.1676 0.3352 0.8339
N1 0.0000 0.0000 0.2483
N2 0.0000 0.0000 0.7548
N3 0.0019 0.5010 0.2412
N4 0.0023 0.5011 0.7602
```

=====

11.
LiMg2Cd5: optimized geometry, PBE.

The calculation puts the formation energy from the elements at -127 meV/atom. The calculation puts the density of states at the Fermi level at 0.311 states/eV/atom. The value obtained for the distance to the lowest polymorph of the same formula is 0.0 meV/atom. Its crystal system is tetragonal.

Structure (CIF):
```
data_LiMg2Cd5
_chemical_formula_sum 'Li2 Mg4 Cd10'
_space_group_name_H-M_alt 'I 4/m m m'
_space_group_IT_number 139
_space_group_name_Hall '-I 4 2'
_cell_length_a 4.617
_cell_length_b 4.617
_cell_length_c 15.838
_cell_angle_alpha 90.00
_cell_angle_beta 90.00
_cell_angle_gamma 90.00
loop_
_atom_site_label
_atom_site_fract_x
_atom_site_fract_y
_atom_site_fract_z
Li1 0.000 0.000 0.000
Mg1 0.000 0.000 0.249
Cd1 0.000 0.000 0.500
Cd2 0.000 0.500 0.123
```

=====

12.
SmFeCl: optimized geometry, PBE.

The calculation puts the density of states at the Fermi level at 0.555 states/eV/atom. For the raw formation energy, the calculation gives -3.16 eV per formula unit. Its crystal system is triclinic.

Structure (CIF):
```
data_SmFeCl
_chemical_formula_sum 'Sm2 Fe2 Cl2'
_space_group_name_H-M_alt 'P 1'
_space_group_IT_number 1
_space_group_name_Hall 'P 1'
_cell_length_a 3.918
_cell_length_b 3.918
_cell_length_c 11.285
_cell_angle_alpha 98.53
_cell_angle_beta 91.28
_cell_angle_gamma 119.98
loop_
_atom_site_label
_atom_site_fract_x
_atom_site_fract_y
_atom_site_fract_z
Sm1 0.000 0.000 0.000
Sm2 0.136 0.224 0.366
Fe1 0.401 0.779 0.183
Fe2 0.735 0.445 0.183
Cl1 0.608 0.236 0.841
Cl2 0.861 0.654 0.525
```

=====

Please write out number 1 again, unchanged.
NaCaNiSb2: optimized geometry, PBE.

The calculation puts the density of states at the Fermi level at 1.035 states/eV/atom. For the raw formation energy, the calculation gives 4.07 eV per formula unit. Its crystal system is tetragonal.

Structure (CIF):
```
data_NaCaNiSb2
_chemical_formula_sum 'Na1 Ca1 Ni1 Sb2'
_space_group_name_H-M_alt 'P 4/m m m'
_space_group_IT_number 123
_space_group_name_Hall '-P 4 2'
_cell_length_a 5.303
_cell_length_b 5.303
_cell_length_c 5.074
_cell_angle_alpha 90.00
_cell_angle_beta 90.00
_cell_angle_gamma 90.00
loop_
_atom_site_label
_atom_site_fract_x
_atom_site_fract_y
_atom_site_fract_z
Na1 0.000 0.000 0.000
Ca1 0.000 0.000 0.500
Ni1 0.500 0.500 0.500
Sb1 0.000 0.500 0.000
```